# 1
# Ta2NbHIr

Ta2NbHIr after structural relaxation (GGA-PBE, Alexandria).

## Properties
Space-group type = P4/mmm, No. 123
Raw total energy = -47.0 eV per cell
Mass density = 15.13 g/cm³

Unit cell a=4.421 b=4.421 c=3.639 alpha=90.00 beta=90.00 gamma=90.00
Element x y z (fractional)
Ta (0.000, 0.500, 0.000)
Ta (0.500, 0.000, 0.000)
Nb (0.000, 0.000, 0.500)
H (0.000, 0.000, 0.000)
Ir (0.500, 0.500, 0.500)



# 2
# Cs2CuHgO2

Cs2CuHgO2 after structural relaxation (GGA-PBE, Alexandria).

## Properties
Space-group type = I4/mmm, No. 139
Raw formation energy = -0.81 eV/atom
Mass density = 5.12 g/cm³

Unit cell a=6.890 b=6.890 c=6.890 alpha=131.03 beta=131.03 gamma=71.76
Element x y z (fractional)
Cs (0.250, 0.750, 0.500)
Cs (0.750, 0.250, 0.500)
Cu (0.000, 0.000, 0.000)
Hg (0.500, 0.500, 0.000)
O (0.156, 0.156, 0.000)
O (0.844, 0.844, 0.000)



# 3
# MgPa2Ga3Pt4

MgPa2Ga3Pt4 after structural relaxation (GGA-PBE, Alexandria).

## Properties
Space-group type = P-4m2, No. 115
Formation enthalpy at 0 K = -732 kJ/mol of formula units
Mass density = 13.00 g/cm³

Unit cell a=4.043 b=4.043 c=11.532 alpha=90.00 beta=90.00 gamma=90.00
Element x y z (fractional)
Mg (0.000, 0.000, 0.000)
Pa (0.000, 0.500, 0.744)
Pa (0.500, 0.000, 0.256)
Ga (0.000, 0.500, 0.369)
Ga (0.500, 0.000, 0.631)
Ga (0.500, 0.500, 0.000)
Pt (0.000, 0.000, 0.500)
Pt (0.000, 0.500, 0.155)
Pt (0.500, 0.000, 0.845)
Pt (0.500, 0.500, 0.500)



# 4
# Sr8Au2N

Sr8Au2N after structural relaxation (GGA-PBE, Alexandria).

## Properties
Space-group type = C2/m, No. 12
Raw formation energy = -0.40 eV/atom
Mass density = 4.20 g/cm³

Unit cell a=8.165 b=8.165 c=8.064 alpha=90.00 beta=90.00 gamma=54.73
Element x y z (fractional)
Sr (0.186, 0.186, 0.597)
Sr (0.198, 0.732, 0.725)
Sr (0.268, 0.802, 0.275)
Sr (0.303, 0.303, 0.099)
Sr (0.697, 0.697, 0.901)
Sr (0.732, 0.198, 0.725)
Sr (0.802, 0.268, 0.275)
Sr (0.814, 0.814, 0.403)
Au (0.105, 0.105, 0.960)
Au (0.895, 0.895, 0.040)
N (0.000, 0.000, 0.500)



# 5
# Cs2ZnReGe

Cs2ZnReGe after structural relaxation (GGA-PBE, Alexandria).

## Properties
Space-group type = P4/mmm, No. 123
Formation enthalpy at 0 K = 447 kJ/mol of formula units
Mass density = 5.17 g/cm³

Unit cell a=6.254 b=6.254 c=4.847 alpha=90.00 beta=90.00 gamma=90.00
Element x y z (fractional)
Cs (0.000, 0.500, 0.000)
Cs (0.500, 0.000, 0.000)
Zn (0.000, 0.000, 0.500)
Re (0.500, 0.500, 0.000)
Ge (0.500, 0.500, 0.500)



# 6
# Tm4Pb2O

Tm4Pb2O after structural relaxation (GGA-PBE, Alexandria).

## Properties
Space-group type = I4/mmm, No. 139
Raw formation energy = -0.44 eV/atom
Mass density = 7.48 g/cm³

Unit cell a=13.097 b=13.097 c=13.097 alpha=160.69 beta=160.69 gamma=27.44
Element x y z (fractional)
Tm (0.000, 0.500, 0.500)
Tm (0.214, 0.214, 0.000)
Tm (0.500, 0.000, 0.500)
Tm (0.786, 0.786, 0.000)
Pb (0.096, 0.096, 0.000)
Pb (0.904, 0.904, 0.000)
O (0.500, 0.500, 0.000)



# 7
# Mn2MoIr

Mn2MoIr after structural relaxation (GGA-PBE, Alexandria).

## Properties
Space-group type = I-4m2, No. 119
Formation enthalpy at 0 K = -42 kJ/mol of formula units
Mass density = 12.16 g/cm³

Unit cell a=4.674 b=4.674 c=4.674 alpha=132.55 beta=132.55 gamma=69.37
Element x y z (fractional)
Mn (0.000, 0.000, 0.000)
Mn (0.750, 0.250, 0.500)
Mo (0.500, 0.500, 0.000)
Ir (0.250, 0.750, 0.500)



# 8
# Tb3Pr2Sm6Pu

Tb3Pr2Sm6Pu after structural relaxation (GGA-PBE, Alexandria).

## Properties
Space-group type = C2/m, No. 12
Formation enthalpy at 0 K = 62 kJ/mol of formula units
Mass density = 7.93 g/cm³

Unit cell a=6.261 b=6.261 c=11.939 alpha=95.06 beta=95.06 gamma=120.07
Element x y z (fractional)
Tb (0.000, 0.000, 0.000)
Tb (0.334, 0.666, 0.000)
Tb (0.666, 0.334, 0.000)
Pr (0.167, 0.833, 0.500)
Pr (0.833, 0.167, 0.500)
Sm (0.087, 0.416, 0.249)
Sm (0.254, 0.254, 0.751)
Sm (0.416, 0.087, 0.249)
Sm (0.584, 0.913, 0.751)
Sm (0.746, 0.746, 0.249)
Sm (0.913, 0.584, 0.751)
Pu (0.500, 0.500, 0.500)



- Which of these has the lowest mass density?
  Sr8Au2N



Repeat the fifth record exactly.
# Cs2ZnReGe

Cs2ZnReGe after structural relaxation (GGA-PBE, Alexandria).

## Properties
Space-group type = P4/mmm, No. 123
Formation enthalpy at 0 K = 447 kJ/mol of formula units
Mass density = 5.17 g/cm³

Unit cell a=6.254 b=6.254 c=4.847 alpha=90.00 beta=90.00 gamma=90.00
Element x y z (fractional)
Cs (0.000, 0.500, 0.000)
Cs (0.500, 0.000, 0.000)
Zn (0.000, 0.000, 0.500)
Re (0.500, 0.500, 0.000)
Ge (0.500, 0.500, 0.500)